# La5Tb4Sm4 | Alexandria | PBE | relaxed
# - Space group: I4/m
# - Formation energy: 25 meV/atom
# - Mass density: 7.14 g cm⁻³
data_La5Tb4Sm4
_chemical_formula_sum 'La5 Tb4 Sm4'
_symmetry_space_group_name_H-M 'P 1'
_symmetry_Int_Tables_number 1
_cell_length_a 5.153
_cell_length_b 9.685
_cell_length_c 9.685
_cell_angle_alpha 85.94
_cell_angle_beta 74.57
_cell_angle_gamma 74.57
loop_
_symmetry_equiv_pos_as_xyz
'x,y,z'
loop_
_atom_site_label
_atom_site_fract_x
_atom_site_fract_y
_atom_site_fract_z
La1 0.693 0.847 0.767
La2 0.307 0.153 0.233
La3 0.000 0.000 0.000
La4 0.540 0.767 0.153
La5 0.460 0.233 0.847
Tb1 0.766 0.389 0.079
Tb2 0.234 0.611 0.921
Tb3 0.845 0.921 0.389
Tb4 0.155 0.079 0.611
Sm1 0.924 0.462 0.691
Sm2 0.615 0.309 0.462
Sm3 0.076 0.538 0.309
Sm4 0.385 0.691 0.538